1.
Density functional theory data (PBE) for ReOsRu2 after structural relaxation.

Values from the calculation:
**Energy**: -0.7381 Ry/atom
**Energy relative to the lowest polymorph listed for this composition**: 2.36 eV per formula unit
**Energy of formation**: 199 kJ/mol of formula units
**Crystal system**: orthorhombic
**Space-group type**: Cmmm (65)

Geometry as POSCAR:
```
ReOsRu2
1.0
-0.293 1.175 2.404
1.988 -1.797 -0.256
5.683 6.648 -2.557
Ru Re Os
2 1 1
direct
0.000 0.000 0.999
0.000 0.000 0.501
0.500 0.500 0.750
0.500 0.500 0.250
```

2.
Density functional theory data (PBE) for ReOsRu2 after structural relaxation.

Values from the calculation:
**Energy**: -0.7715 Ry/atom
**Energy relative to the lowest polymorph listed for this composition**: 0.54 eV per formula unit
**Energy of formation**: 23 kJ/mol of formula units
**Crystal system**: tetragonal
**Space-group type**: I4/mmm (139)

Geometry as POSCAR:
```
ReOsRu2
1.0
-3.399 -0.982 -3.121
-0.958 -4.619 0.113
0.294 3.238 3.419
Ru Os Re
2 1 1
direct
0.500 0.500 0.000
0.000 0.000 0.000
0.250 0.750 0.500
0.750 0.250 0.500
```

3.
Density functional theory data (PBE) for ReOsRu2 after structural relaxation.

Values from the calculation:
**Energy**: -0.7375 Ry/atom
**Energy relative to the lowest polymorph listed for this composition**: 2.39 eV per formula unit
**Energy of formation**: 202 kJ/mol of formula units
**Crystal system**: orthorhombic
**Space-group type**: Cmm2 (35)

Geometry as POSCAR:
```
ReOsRu2
1.0
-0.242 -1.255 2.369
0.042 -1.540 -2.208
9.094 -0.617 0.604
Os Ru Re
1 2 1
direct
0.000 0.000 0.500
0.500 0.500 0.249
0.000 0.000 0.999
0.500 0.500 0.752
```

4.
Density functional theory data (PBE) for Re2Os3Ru4 after structural relaxation.

Values from the calculation:
**Energy**: -0.7551 Ry/atom
**Energy of formation**: 311 kJ/mol of formula units
**Crystal system**: triclinic
**Space-group type**: P-1 (2)

Geometry as POSCAR:
```
Re2Os3Ru4
1.0
-1.067 -4.768 2.252
5.814 3.001 2.671
-1.416 8.590 4.553
Os Ru Re
6 8 4
direct
0.516 0.993 0.771
0.594 0.394 0.647
0.406 0.606 0.353
0.484 0.007 0.229
0.942 0.781 0.046
0.058 0.219 0.954
0.553 0.216 0.443
0.993 0.016 0.735
0.007 0.984 0.265
0.447 0.784 0.557
0.433 0.784 0.045
0.099 0.392 0.154
0.901 0.608 0.846
0.567 0.216 0.955
0.365 0.571 0.831
0.044 0.206 0.449
0.635 0.429 0.169
0.956 0.794 0.551
```

5.
Density functional theory data (PBE) for ReOsRu2 after structural relaxation.

Values from the calculation:
**Energy**: -0.7374 Ry/atom
**Energy relative to the lowest polymorph listed for this composition**: 2.40 eV per formula unit
**Energy of formation**: 203 kJ/mol of formula units
**Crystal system**: tetragonal
**Space-group type**: P4/mmm (123)

Geometry as POSCAR:
```
ReOsRu2
1.0
3.264 0.000 0.000
0.000 3.264 0.000
0.000 0.000 5.514
Ru Re Os
2 1 1
direct
0.000 0.000 0.499
0.000 0.000 0.001
0.500 0.500 0.750
0.500 0.500 0.250
```

6.
Density functional theory data (PBE) for ReOsRu2 after structural relaxation.

Values from the calculation:
**Energy**: -0.7698 Ry/atom
**Energy relative to the lowest polymorph listed for this composition**: 0.63 eV per formula unit
**Energy of formation**: 32 kJ/mol of formula units
**Crystal system**: tetragonal
**Space-group type**: P4mm (99)

Geometry as POSCAR:
```
ReOsRu2
1.0
-1.409 0.108 2.334
1.840 -1.629 1.186
4.063 6.163 2.166
Ru Re Os
2 1 1
direct
0.500 0.500 0.254
0.000 0.000 0.997
0.500 0.500 0.755
0.000 0.000 0.494
```

7.
Density functional theory data (PBE) for ReOs2Ru5 after structural relaxation.

Values from the calculation:
**Energy**: -0.7495 Ry/atom
**Energy of formation**: -29 kJ/mol of formula units
**Crystal system**: orthorhombic
**Space-group type**: Fmm2 (42)

Geometry as POSCAR:
```
ReOs2Ru5
1.0
5.255 -0.397 -1.555
-3.025 4.314 -1.556
0.099 0.176 5.113
Ru Os Re
5 2 1
direct
0.319 0.738 0.000
0.737 0.819 0.500
0.818 0.236 0.000
0.237 0.319 0.500
0.321 0.235 0.000
0.737 0.321 0.503
0.234 0.819 0.497
0.821 0.735 0.000
```

8.
Density functional theory data (PBE) for Re2Os5Ru2 after structural relaxation.

Values from the calculation:
**Energy**: -0.7873 Ry/atom
**Energy of formation**: 308 kJ/mol of formula units
**Crystal system**: monoclinic
**Space-group type**: C2/m (12)

Geometry as POSCAR:
```
Re2Os5Ru2
1.0
-2.239 0.722 -3.598
-4.394 -2.285 -0.291
-6.057 4.421 2.089
Os Ru Re
5 2 2
direct
0.098 0.495 0.308
0.000 0.000 0.000
0.415 0.907 0.262
0.902 0.505 0.692
0.585 0.093 0.738
0.683 0.579 0.055
0.317 0.421 0.945
0.229 0.928 0.614
0.771 0.072 0.386
```

9.
Density functional theory data (PBE) for Re2OsRu after structural relaxation.

Values from the calculation:
**Energy**: -0.8003 Ry/atom
**Energy relative to the lowest polymorph listed for this composition**: 2.21 eV per formula unit
**Energy of formation**: 178 kJ/mol of formula units
**Crystal system**: orthorhombic
**Space-group type**: Immm (71)

Geometry as POSCAR:
```
Re2OsRu
1.0
5.305 0.006 0.007
2.561 4.646 -0.007
-3.326 -3.352 2.417
Ru Re Os
1 2 1
direct
0.250 0.750 0.500
0.503 0.503 0.000
0.997 0.997 0.000
0.750 0.250 0.500
```

10.
Density functional theory data (PBE) for ReOsRu2 after structural relaxation.

Values from the calculation:
**Energy**: -0.7690 Ry/atom
**Energy relative to the lowest polymorph listed for this composition**: 0.67 eV per formula unit
**Energy of formation**: 36 kJ/mol of formula units
**Crystal system**: trigonal
**Space-group type**: R-3m (166)

Geometry as POSCAR:
```
ReOsRu2
1.0
-5.393 4.526 5.642
-5.009 2.284 7.148
-3.196 4.320 7.247
Re Ru Os
1 2 1
direct
0.250 0.250 0.250
0.000 0.000 0.000
0.500 0.500 0.500
0.750 0.750 0.750
```

11.
Density functional theory data (PBE) for ReOs2Ru after structural relaxation.

Values from the calculation:
**Energy**: -0.8078 Ry/atom
**Energy relative to the lowest polymorph listed for this composition**: 0.48 eV per formula unit
**Energy of formation**: 21 kJ/mol of formula units
**Crystal system**: tetragonal
**Space-group type**: P4/mmm (123)

Geometry as POSCAR:
```
ReOs2Ru
1.0
3.866 0.000 0.000
0.000 3.857 0.000
0.000 0.000 3.857
Os Re Ru
2 1 1
direct
0.000 0.500 0.500
0.000 0.000 0.000
0.500 0.500 0.000
0.500 0.000 0.500
```

12.
Density functional theory data (PBE) for ReOs2Ru after structural relaxation.

Values from the calculation:
**Energy**: -0.7698 Ry/atom
**Energy relative to the lowest polymorph listed for this composition**: 2.55 eV per formula unit
**Energy of formation**: 221 kJ/mol of formula units
**Crystal system**: tetragonal
**Space-group type**: P4mm (99)

Geometry as POSCAR:
```
ReOs2Ru
1.0
-0.378 3.215 0.452
-3.193 -0.285 -0.638
-0.999 -0.874 5.388
Os Ru Re
2 1 1
direct
0.000 0.000 0.991
0.500 0.500 0.246
0.500 0.500 0.758
0.000 0.000 0.504
```

13.
Density functional theory data (PBE) for ReOsRu2 after structural relaxation.

Values from the calculation:
**Energy**: -0.7689 Ry/atom
**Energy relative to the lowest polymorph listed for this composition**: 0.68 eV per formula unit
**Energy of formation**: 37 kJ/mol of formula units
**Crystal system**: trigonal
**Space-group type**: R3m (160)

Geometry as POSCAR:
```
ReOsRu2
1.0
-2.770 -6.195 5.951
-1.633 -7.865 4.117
-0.091 -6.703 6.044
Ru Os Re
2 1 1
direct
0.001 0.001 0.001
0.750 0.750 0.750
0.499 0.499 0.499
0.250 0.250 0.250
```

14.
Density functional theory data (PBE) for Re4Os3Ru2 after structural relaxation.

Values from the calculation:
**Energy**: -0.8389 Ry/atom
**Energy of formation**: -67 kJ/mol of formula units
**Crystal system**: triclinic
**Space-group type**: P-1 (2)

Geometry as POSCAR:
```
Re4Os3Ru2
1.0
0.523 -4.229 -2.189
8.366 -1.080 -1.166
2.734 -2.711 5.903
Re Ru Os
8 4 6
direct
0.328 0.171 0.412
0.113 0.609 0.864
0.672 0.829 0.588
0.887 0.391 0.136
0.442 0.945 0.193
0.999 0.170 0.912
0.558 0.055 0.807
0.001 0.830 0.088
0.780 0.278 0.529
0.220 0.722 0.471
0.332 0.499 0.253
0.668 0.501 0.747
0.891 0.053 0.308
0.445 0.277 0.029
0.779 0.612 0.361
0.109 0.947 0.692
0.221 0.388 0.639
0.555 0.723 0.971
```